(1)
Computed, not measured: a crystal of Sc2TcRh relaxed with PBEsol at the meta-GGA SCAN level of DFT.

Cell: 3.1633 3.1633 6.4841 Å, 90.00 90.00 90.00°
With the nearest neighbours (Å) after each atom.
Sites, in units of the cell vectors:
Sc1 0.0000 0.0000 0.7507  4 Tc 2.76, 4 Rh 2.76
Sc2 0.0000 0.0000 0.2493  4 Tc 2.76, 4 Rh 2.76
Rh1 0.5000 0.5000 0.5000  8 Sc 2.76
Tc1 0.5000 0.5000 0.0000  8 Sc 2.76

Output
DOS(E_F)	4.35	states/eV/cell
total magnetization	0.02	μB/f.u.
energy of formation from the pure elements	-0.62	eV per atom
E_tot	-99.8	eV for the cell shown

***

(2)
Computed, not measured: a crystal of K2NO relaxed with PBEsol at the meta-GGA SCAN level of DFT.

Cell: 6.1378 6.1378 6.1378 Å, 108.92 108.92 110.57°
With the nearest neighbours (Å) after each atom.
Sites, in units of the cell vectors:
K1 0.9066 0.8750 0.5316  2 O 2.52, 2 N 2.83
K2 0.3434 0.3750 0.4684  2 O 2.52, 2 N 2.83
K3 0.1250 0.6566 0.0316  2 O 2.52, 2 N 2.83
K4 0.6250 0.0934 0.9684  2 O 2.52, 2 N 2.83
O1 0.0000 0.0000 0.0000  4 K 2.52
O2 0.2500 0.7500 0.5000  4 K 2.52
N1 0.5000 0.5000 0.0000  4 K 2.83
N2 0.7500 0.2500 0.5000  4 K 2.83

Output
DOS(E_F)	0.69	states/eV/cell
total magnetization	3.00	μB/f.u.
E_tot	-62.9	eV for the cell shown

***

(3)
Computed, not measured: a crystal of TbInRh2 relaxed with PBEsol at the meta-GGA SCAN level of DFT.

Cell: 4.6289 4.6289 4.6289 Å, 60.00 60.00 60.00°
With the nearest neighbours (Å) after each atom.
Sites, in units of the cell vectors:
Tb1 0.0000 0.0000 0.0000  8 Rh 2.83
Rh1 0.7500 0.7500 0.7500  4 In 2.83, 4 Tb 2.83
Rh2 0.2500 0.2500 0.2500  4 In 2.83, 4 Tb 2.83
In1 0.5000 0.5000 0.5000  8 Rh 2.83

Output
DOS(E_F)	0.75	states/eV/cell
total magnetization	0.00	μB/f.u.
energy of formation from the pure elements	-0.82	eV per atom
E_tot	-151.0	eV for the cell shown